Entry 1:
Material: LiV3O4F2
Method: DFT, meta-GGA SCAN
State: single point on PBEsol structure

a b c (Å): 4.986 5.003 5.421
angles (deg): 116.79 91.63 118.31
Sites, in units of the cell vectors:
Li (0.000, 0.000, 0.000)
V (0.249, 0.442, 0.608)
V (0.548, 0.084, 0.539)
V (0.751, 0.502, 0.176)
O (0.138, 0.954, 0.359)
O (0.491, 0.629, 0.393)
O (0.610, 0.530, 0.852)
O (0.841, 0.306, 0.379)
F (0.346, 0.956, 0.868)
F (0.966, 0.283, 0.862)

Output
Energy above the lowest structure with this stoichiometry   0.000 eV per atom
E   -114.56 eV per cell
Crystal system   triclinic
DOS(E_F)   2.583 states/eV/cell

Entry 2:
Material: LiV2OF5
Method: DFT, meta-GGA SCAN
State: single point on PBEsol structure

a b c (Å): 4.629 4.634 10.159
angles (deg): 90.00 116.86 90.00
Sites, in units of the cell vectors:
Li (0.000, 0.245, 0.000)
Li (0.000, 0.755, 0.500)
V (0.327, 0.257, 0.320)
V (0.327, 0.743, 0.820)
V (0.643, 0.274, 0.665)
V (0.643, 0.726, 0.165)
O (0.398, 0.458, 0.189)
O (0.398, 0.542, 0.689)
F (0.031, 0.446, 0.832)
F (0.031, 0.554, 0.332)
F (0.305, 0.063, 0.496)
F (0.305, 0.937, 0.996)
F (0.634, 0.051, 0.831)
F (0.634, 0.949, 0.331)
F (0.690, 0.445, 0.497)
F (0.690, 0.555, 0.997)
F (0.959, 0.038, 0.169)
F (0.959, 0.962, 0.669)

Output
Energy above the lowest structure with this stoichiometry   0.000 eV per atom
E   -179.06 eV per cell
Crystal system   monoclinic

Entry 3:
Material: Li2VOF4
Method: DFT, meta-GGA SCAN
State: single point on PBEsol structure

a b c (Å): 3.569 10.023 5.192
angles (deg): 90.00 110.07 90.00
Sites, in units of the cell vectors:
Li (0.136, 0.000, 0.272)
Li (0.185, 0.673, 0.371)
Li (0.815, 0.173, 0.629)
Li (0.864, 0.500, 0.728)
V (0.141, 0.363, 0.279)
V (0.859, 0.863, 0.721)
O (0.336, 0.856, 0.673)
O (0.664, 0.356, 0.327)
F (0.038, 0.798, 0.076)
F (0.055, 0.532, 0.108)
F (0.229, 0.184, 0.456)
F (0.308, 0.473, 0.614)
F (0.692, 0.973, 0.386)
F (0.771, 0.684, 0.544)
F (0.945, 0.032, 0.892)
F (0.962, 0.298, 0.924)

Output
Energy above the lowest structure with this stoichiometry   0.006 eV per atom
E   -133.96 eV per cell
Crystal system   monoclinic
DOS(E_F)   1.194 states/eV/cell

Number 1: raw formation energy -2770 meV per atom. Number 2: raw formation energy -3137 meV per atom. Number 3: raw formation energy -3040 meV per atom.